Record 1
## Mn2TcNiO (PBE+U)

Data for a relaxed structure of Mn2TcNiO.

For the energy relative to the lowest polymorph listed for this composition, the calculation gives 0 meV/atom. The calculation puts the spin magnetization at 6.8 μB per formula unit. As for the total energy: -5.84 eV/atom. As for the symmetry: No. 123.

a b c (Å): 4.841 4.841 3.439
angles (deg): 90.00 90.00 90.00
Atoms (fractional coordinates):
Mn (0.000, 0.500, 0.000)
Mn (0.500, 0.000, 0.000)
Tc (0.000, 0.000, 0.500)
Ni (0.500, 0.500, 0.000)
O (0.500, 0.500, 0.500)

=====

Record 2
## MnTcNi2O (PBE+U)

Data for a relaxed structure of MnTcNi2O.

The calculation puts the spin magnetization at 4.8 μB per formula unit. As for the total energy: -4.69 eV/atom. As for the symmetry: No. 123.

a b c (Å): 4.605 4.605 3.721
angles (deg): 90.00 90.00 90.00
Atoms (fractional coordinates):
Mn (0.000, 0.000, 0.000)
Tc (0.500, 0.500, 0.500)
Ni (0.000, 0.500, 0.500)
Ni (0.500, 0.000, 0.500)
O (0.500, 0.500, 0.000)

=====

Record 3
## Mn2TcNiO (PBE+U)

Data for a relaxed structure of Mn2TcNiO.

For the energy relative to the lowest polymorph listed for this composition, the calculation gives 359 meV/atom. The calculation puts the spin magnetization at 0.7 μB per formula unit. As for the total energy: -5.48 eV/atom. As for the symmetry: No. 123.

a b c (Å): 3.913 3.913 4.016
angles (deg): 90.00 90.00 90.00
Atoms (fractional coordinates):
Mn (0.000, 0.500, 0.000)
Mn (0.500, 0.000, 0.000)
Tc (0.000, 0.000, 0.500)
Ni (0.500, 0.500, 0.500)
O (0.000, 0.000, 0.000)

=====

Record 4
## MnNiTeO6 (PBE+U)

Data for a relaxed structure of MnNiTeO6.

The calculation puts the spin magnetization at 5.0 μB per formula unit. As for the total energy: -5.90 eV/atom. As for the symmetry: No. 102.

a b c (Å): 4.603 4.603 9.107
angles (deg): 90.00 90.00 90.00
Atoms (fractional coordinates):
Mn (0.000, 0.000, 0.000)
Mn (0.500, 0.500, 0.500)
Ni (0.000, 0.000, 0.669)
Ni (0.500, 0.500, 0.169)
Te (0.000, 0.000, 0.336)
Te (0.500, 0.500, 0.836)
O (0.187, 0.187, 0.167)
O (0.198, 0.198, 0.840)
O (0.199, 0.199, 0.497)
O (0.301, 0.699, 0.997)
O (0.302, 0.698, 0.340)
O (0.313, 0.687, 0.667)
O (0.687, 0.313, 0.667)
O (0.698, 0.302, 0.340)
O (0.699, 0.301, 0.997)
O (0.801, 0.801, 0.497)
O (0.802, 0.802, 0.840)
O (0.813, 0.813, 0.167)

=====

Record 5
## MnNi2TeO6 (PBE+U)

Data for a relaxed structure of MnNi2TeO6.

The calculation puts the spin magnetization at 9.0 μB per formula unit. As for the total energy: -5.78 eV/atom. As for the symmetry: No. 146.

a b c (Å): 5.616 5.616 5.616
angles (deg): 55.58 55.58 55.58
Atoms (fractional coordinates):
Mn (0.000, 0.000, 0.000)
Ni (0.206, 0.206, 0.206)
Ni (0.715, 0.715, 0.715)
Te (0.514, 0.514, 0.514)
O (0.135, 0.422, 0.781)
O (0.321, 0.899, 0.592)
O (0.422, 0.781, 0.135)
O (0.592, 0.321, 0.899)
O (0.781, 0.135, 0.422)
O (0.899, 0.592, 0.321)

=====

Record 6
## Mn3Ni3Te2O16 (PBE+U)

Data for a relaxed structure of Mn3Ni3Te2O16.

The calculation puts the spin magnetization at 13.0 μB per formula unit. As for the total energy: -5.83 eV/atom. As for the symmetry: No. 8.

a b c (Å): 5.910 5.910 9.172
angles (deg): 92.04 92.04 59.04
Atoms (fractional coordinates):
Mn (0.000, 0.000, 0.000)
Mn (0.333, 0.830, 0.502)
Mn (0.830, 0.333, 0.502)
Ni (0.336, 0.336, 0.502)
Ni (0.504, 0.999, 0.003)
Ni (0.999, 0.504, 0.003)
Te (0.496, 0.496, 0.222)
Te (0.833, 0.833, 0.727)
O (0.137, 0.700, 0.866)
O (0.158, 0.158, 0.408)
O (0.163, 0.163, 0.910)
O (0.206, 0.662, 0.366)
O (0.328, 0.328, 0.122)
O (0.336, 0.820, 0.115)
O (0.504, 0.996, 0.618)
O (0.511, 0.511, 0.606)
O (0.647, 0.647, 0.377)
O (0.662, 0.206, 0.366)
O (0.691, 0.691, 0.869)
O (0.700, 0.137, 0.866)
O (0.820, 0.336, 0.115)
O (0.840, 0.840, 0.099)
O (0.996, 0.504, 0.618)
O (0.996, 0.996, 0.610)

=====

Among the records above, which one has the lowest spin magnetization? number 3